KInF4: optimized geometry, GGA-PBE.

abc: 5.7964 5.6577 6.3473
angles: 90.00 96.55 90.00
Sites, in units of the cell vectors:
K (0.0000, 0.0000, 0.0000)
K (0.5000, 0.5000, 0.0000)
In (0.5000, 0.0000, 0.5000)
In (0.0000, 0.5000, 0.5000)
F (0.9144, 0.6166, 0.1977)
F (0.5856, 0.1166, 0.8023)
F (0.2900, 0.3072, 0.4001)
F (0.2100, 0.8072, 0.5999)
F (0.0856, 0.3834, 0.8023)
F (0.4144, 0.8834, 0.1977)
F (0.7100, 0.6928, 0.5999)
F (0.7900, 0.1928, 0.4001)

Properties
The energy relative to the elements, uncorrected is -2.67 eV per atom. The magnetization comes out at 0.19 Bohr magnetons per cell.